The following is a DFT calculation (GGA-PBE) of a relaxed Pm2In2Ni crystal.

Its formation energy is -10.059 kcal/mol of atoms. Its crystal system is monoclinic. The value obtained for the calculated volume is 25.366 Å³/atom. The raw total energy comes out at -45.88 eV/cell.

extended XYZ file:
```
10
Lattice="3.7037 0.0000 0.8778 1.9492 6.0330 0.0283 -0.7142 -1.1547 11.2659" Properties=species:S:1:pos:R:3 pbc="T T T"
Pm 2.8700 1.6622 4.3957
Pm 3.3570 0.5263 10.5933
Pm 2.0688 3.2161 7.7763
Pm 1.5817 4.3520 1.5786
In 0.4261 0.5118 6.4548
In 3.3366 3.8521 10.6794
In 4.5127 4.3665 5.7172
In 1.6021 1.0262 1.4926
Ni 1.9259 -0.6605 8.3790
Ni 3.0128 5.5388 3.7930
```

***

The following is a DFT calculation (GGA-PBE) of a relaxed Li6SiIr2 crystal.

Its crystal system is trigonal. The value obtained for the offset from the most stable computed form is 93 meV per atom. The formation energy from raw total energies is -0.1384 eV/atom. The value obtained for the calculated volume is 15.914 Å³/atom. The raw total energy comes out at -35.87 eV/cell.

extended XYZ file:
```
9
Lattice="-2.3694 3.3180 -1.7132 -3.8605 -0.8364 -1.9887 -6.0863 1.7767 6.1501" Properties=species:S:1:pos:R:3 pbc="T T T"
Li -5.2526 1.9147 -0.4435
Li -8.5594 3.0332 0.5880
Li -9.7643 3.3186 2.8069
Li -3.7568 1.2251 1.8602
Li -7.0636 2.3436 2.8917
Li -2.5519 0.9397 -0.3588
Si 0.0000 0.0000 0.0000
Ir -7.2740 2.7288 -1.7793
Ir -5.0422 1.5295 4.2274
```

***

The following is a DFT calculation (GGA-PBE) of a relaxed Sb3AuBr crystal.

Its crystal system is cubic. The value obtained for the offset from the most stable computed form is 657 meV per atom. The formation energy from raw total energies is 0.5628 eV/atom. The value obtained for the calculated volume is 32.743 Å³/atom. The raw total energy comes out at -14.50 eV/cell.

extended XYZ file:
```
5
Lattice="5.4705 0.0000 0.0000 0.0000 5.4705 0.0000 0.0000 0.0000 5.4705" Properties=species:S:1:pos:R:3 pbc="T T T"
Sb 0.0000 2.7353 0.0000
Sb 0.0000 0.0000 2.7353
Sb 2.7353 0.0000 0.0000
Au 0.0000 0.0000 0.0000
Br 2.7353 2.7353 2.7353
```

***

The following is a DFT calculation (GGA-PBE) of a relaxed Nb3ZnCd crystal.

Its formation energy is 45.013 kcal/mol of atoms. Its crystal system is cubic. The value obtained for the offset from the most stable computed form is 882 meV per atom. The value obtained for the calculated volume is 24.929 Å³/atom. The raw total energy comes out at -22.64 eV/cell.

extended XYZ file:
```
5
Lattice="-1.1333 3.2375 -3.6314 -2.8680 -3.4564 -2.1864 -3.9297 1.5889 2.6430" Properties=species:S:1:pos:R:3 pbc="T T T"
Nb -1.4340 -1.7282 -1.0932
Nb -1.9649 0.7944 1.3215
Nb -0.5667 1.6188 -1.8157
Zn -3.9655 0.6850 -1.5874
Cd 0.0000 0.0000 0.0000
```

***

The following is a DFT calculation (GGA-PBE) of a relaxed BaCaS crystal.

Its crystal system is monoclinic. The value obtained for the offset from the most stable computed form is 3 meV per atom. The formation energy from raw total energies is -1.2567 eV/atom. The value obtained for the calculated volume is 37.542 Å³/atom. The raw total energy comes out at -47.29 eV/cell.

extended XYZ file:
```
12
Lattice="8.2205 0.0000 0.0000 0.0000 7.6828 0.2242 0.0000 -3.5680 7.0291" Properties=species:S:1:pos:R:3 pbc="T T T"
Ca 1.4172 2.4493 0.3317
Ca 5.5275 -2.1759 6.8094
Ca 6.8033 1.6654 6.9215
Ca 2.6930 6.2907 0.4438
S 3.0211 -2.6724 5.5961
S 7.1314 2.9458 1.5450
S 5.1994 6.7871 1.6571
S 1.0891 1.1690 5.7082
Ba 0.6183 3.9239 4.1156
Ba 4.7286 4.0322 3.2497
Ba 7.6022 0.1908 3.1376
Ba 3.4919 0.0826 4.0035
```

***

The following is a DFT calculation (GGA-PBE) of a relaxed Y2ZnCrC crystal.

Its formation energy is -5.666 kcal/mol of atoms. Its crystal system is tetragonal. The value obtained for the calculated volume is 19.299 Å³/atom. The raw total energy comes out at -34.28 eV/cell.

extended XYZ file:
```
5
Lattice="-3.3569 -0.8481 3.5958 -0.7859 -4.5833 -1.8147 2.8006 -1.3860 2.2876" Properties=species:S:1:pos:R:3 pbc="T T T"
Y -0.3930 -2.2917 -0.9074
Y -1.6784 -0.4240 1.7979
Cr 1.4003 -0.6930 1.1438
Zn -0.6711 -3.4087 2.0343
C 0.0000 0.0000 0.0000
```

***

The following is a DFT calculation (GGA-PBE) of a relaxed BaDyTlIn crystal.

Its formation energy is -6.430 kcal/mol of atoms. Its crystal system is cubic. The value obtained for the calculated volume is 32.845 Å³/atom. The raw total energy comes out at -12.74 eV/cell.

extended XYZ file:
```
4
Lattice="-0.7055 2.5793 5.0408 0.7503 -2.9342 4.8361 4.5198 1.0704 3.3146" Properties=species:S:1:pos:R:3 pbc="T T T"
Tl 2.2823 0.3577 6.5958
In 0.0000 0.0000 0.0000
Ba 3.4234 0.5366 9.8937
Dy 1.1411 0.1789 3.2979
```

***

The following is a DFT calculation (GGA-PBE) of a relaxed PmMgZnAg crystal.

Its formation energy is -7.307 kcal/mol of atoms. Its crystal system is cubic. The value obtained for the calculated volume is 21.771 Å³/atom. The raw total energy comes out at -11.74 eV/cell.

extended XYZ file:
```
4
Lattice="4.9753 0.0000 0.0000 2.4876 4.3087 0.0000 2.4876 1.4362 4.0623" Properties=species:S:1:pos:R:3 pbc="T T T"
Zn 0.0000 0.0000 0.0000
Mg 2.4876 1.4362 1.0156
Ag 4.9753 2.8725 2.0311
Pm 7.4629 4.3087 3.0467
```

***

The following is a DFT calculation (GGA-PBE) of a relaxed PmY3Ir4 crystal.

Its formation energy is -16.759 kcal/mol of atoms. Its crystal system is tetragonal. The value obtained for the calculated volume is 20.654 Å³/atom. The raw total energy comes out at -130.80 eV/cell.

extended XYZ file:
```
16
Lattice="4.9732 0.0000 0.0000 0.0000 6.6804 0.0000 0.0000 0.0000 9.9470" Properties=species:S:1:pos:R:3 pbc="T T T"
Y 0.0000 0.0000 0.0000
Y 0.0000 0.0000 4.9735
Y 2.4888 0.0000 7.4602
Y 2.4845 0.0000 2.4867
Y 2.4885 3.3402 7.4602
Y 2.4847 3.3402 2.4867
Ir 2.4866 5.0324 0.0000
Ir 2.4866 5.0324 4.9735
Ir 2.4866 1.6480 0.0000
Ir 2.4866 1.6480 4.9735
Ir 0.0032 5.0317 7.4602
Ir 4.9700 5.0317 2.4867
Ir 4.9700 1.6488 2.4867
Ir 0.0032 1.6488 7.4602
Pm 0.0000 3.3402 0.0000
Pm 0.0000 3.3402 4.9735
```

***

The following is a DFT calculation (GGA-PBE) of a relaxed BaScRe crystal.

Its formation energy is 43.508 kcal/mol of atoms. Its crystal system is cubic. The value obtained for the offset from the most stable computed form is 1273 meV per atom. The value obtained for the calculated volume is 25.816 Å³/atom. The raw total energy comes out at -15.04 eV/cell.

extended XYZ file:
```
3
Lattice="4.7846 0.0000 0.0000 2.3923 4.1436 0.0000 2.3923 1.3812 3.9066" Properties=species:S:1:pos:R:3 pbc="T T T"
Ba 7.1768 4.1436 2.9299
Re 0.0000 0.0000 0.0000
Sc 4.7846 2.7624 1.9533
```

***

The following is a DFT calculation (GGA-PBE) of a relaxed Th2MgAl3 crystal.

Its formation energy is -0.135 kcal/mol of atoms. Its crystal system is orthorhombic. The value obtained for the offset from the most stable computed form is 300 meV per atom. The value obtained for the calculated volume is 25.823 Å³/atom. The raw total energy comes out at -55.39 eV/cell.

extended XYZ file:
```
12
Lattice="4.9659 0.0000 0.0000 0.0000 8.2467 -0.2519 0.0000 -3.0644 7.6604" Properties=species:S:1:pos:R:3 pbc="T T T"
Th 3.7244 1.9366 6.2083
Th 1.2415 0.0145 3.4605
Th 1.2415 3.2457 1.2002
Th 3.7244 5.1679 3.9480
Mg 1.2415 4.6709 6.6773
Mg 3.7244 0.5115 0.7312
Al 0.0000 -1.0151 6.2269
Al 2.4829 -1.0151 6.2269
Al 1.2415 3.0396 4.3453
Al 3.7244 2.1427 3.0631
Al 2.4829 6.1975 1.1816
Al 0.0000 6.1975 1.1816
```

***

The following is a DFT calculation (GGA-PBE) of a relaxed SbPb3Au2 crystal.

Its crystal system is monoclinic. The formation energy from raw total energies is -0.0363 eV/atom. The value obtained for the calculated volume is 27.504 Å³/atom. The raw total energy comes out at -88.08 eV/cell.

extended XYZ file:
```
24
Lattice="-2.8090 3.1817 -11.1592 -8.3854 1.7764 2.6173 2.6574 4.6475 5.3595" Properties=species:S:1:pos:R:3 pbc="T T T"
Sb -7.4129 5.2087 -1.2372
Sb -5.5140 4.0149 -9.6875
Sb -1.1242 4.3969 -1.9452
Sb -3.0230 5.5907 6.5051
Pb -6.1057 6.7569 5.1494
Pb -3.1305 4.3087 0.9989
Pb -2.4313 2.8487 -8.3318
Pb -5.4065 5.2969 -4.1813
Pb -4.7722 2.8212 -2.0529
Pb -7.7763 3.7357 3.0461
Pb -3.7648 6.7844 -1.1295
Pb -0.7607 5.8699 -6.2285
Pb -7.5510 5.5446 -6.8203
Pb -2.6913 3.1103 -4.9424
Pb -0.9860 4.0609 3.6378
Pb -5.8457 6.4953 1.7599
Au -8.4007 4.8198 -3.9460
Au -4.6311 4.4260 -6.9459
Au -0.1363 4.7858 0.7636
Au -3.9059 5.1795 3.7635
Au -6.0402 3.6393 0.6072
Au -2.1001 1.9838 -0.9899
Au -2.4968 5.9663 -3.7896
Au -6.4369 7.6218 -2.1925
```

***

The following is a DFT calculation (GGA-PBE) of a relaxed KNa2GaPt2 crystal.

Its formation energy is -4.501 kcal/mol of atoms. Its crystal system is tetragonal. The value obtained for the calculated volume is 26.822 Å³/atom. The raw total energy comes out at -20.02 eV/cell.

extended XYZ file:
```
6
Lattice="4.9126 0.0000 0.0000 0.0000 4.9126 0.0000 0.0000 0.0000 6.6682" Properties=species:S:1:pos:R:3 pbc="T T T"
K 0.0000 0.0000 3.3341
Na 2.4563 2.4563 5.1430
Na 2.4563 2.4563 1.5252
Ga 0.0000 0.0000 0.0000
Pt 2.4563 0.0000 0.0000
Pt 0.0000 2.4563 0.0000
```

***

The following is a DFT calculation (GGA-PBE) of a relaxed CsCu3Au crystal.

Its formation energy is 42.937 kcal/mol of atoms. Its crystal system is cubic. The value obtained for the offset from the most stable computed form is 1419 meV per atom. The value obtained for the calculated volume is 30.418 Å³/atom. The raw total energy comes out at -7.11 eV/cell.

extended XYZ file:
```
5
Lattice="5.3379 0.0000 0.0000 0.0000 5.3379 0.0000 0.0000 0.0000 5.3379" Properties=species:S:1:pos:R:3 pbc="T T T"
Cs 0.0000 0.0000 0.0000
Au 2.6689 2.6689 2.6689
Cu 0.0000 2.6689 0.0000
Cu 0.0000 0.0000 2.6689
Cu 2.6689 0.0000 0.0000
```

***

The following is a DFT calculation (GGA-PBE) of a relaxed LaSmIn2Se4 crystal.

Its crystal system is monoclinic. The formation energy from raw total energies is -1.3286 eV/atom. The value obtained for the calculated volume is 31.050 Å³/atom. The raw total energy comes out at -39.69 eV/cell.

extended XYZ file:
```
8
Lattice="4.3145 0.0000 0.0000 0.0000 8.0832 -0.3798 0.0000 2.6277 6.9992" Properties=species:S:1:pos:R:3 pbc="T T T"
La 2.1573 6.6694 6.8093
Sm 0.0000 5.3554 3.3097
In 0.0000 2.6277 6.9992
In 2.1573 1.3139 3.4996
Se 0.0001 7.7651 5.0132
Se 4.3145 2.9459 1.6062
Se 2.1573 6.4704 1.6091
Se 2.1573 4.2406 5.0103
```

***

The following is a DFT calculation (GGA-PBE) of a relaxed CrMo2Rh crystal.

Its formation energy is 3.036 kcal/mol of atoms. Its crystal system is monoclinic. The value obtained for the offset from the most stable computed form is 54 meV per atom. The value obtained for the calculated volume is 14.616 Å³/atom. The raw total energy comes out at -38.11 eV/cell.

extended XYZ file:
```
4
Lattice="5.2798 0.0177 0.0579 -2.3506 4.4355 -0.0194 0.5786 0.7630 2.4995" Properties=species:S:1:pos:R:3 pbc="T T T"
Cr 1.4646 2.2266 0.0192
Mo 0.0000 0.0000 0.0000
Mo 2.9292 0.3903 1.2787
Rh -0.8860 2.5992 1.2400
```

***

The following is a DFT calculation (GGA-PBE) of a relaxed LaHoTl6 crystal.

Its formation energy is -6.670 kcal/mol of atoms. Its crystal system is tetragonal. The value obtained for the calculated volume is 28.085 Å³/atom. The raw total energy comes out at -26.02 eV/cell.

extended XYZ file:
```
8
Lattice="-1.8623 1.7070 -4.1164 1.5961 -3.9099 -2.3434 -8.2975 -4.5148 1.8816" Properties=species:S:1:pos:R:3 pbc="T T T"
La 0.0000 0.0000 0.0000
Ho -4.1487 -2.2574 0.9408
Tl -0.1331 -1.1015 -3.2299
Tl -4.2819 -3.3589 -2.2891
Tl -3.0580 -0.3038 -1.5759
Tl -7.1017 -2.5040 -0.6589
Tl -1.3289 -3.1122 -0.6894
Tl -5.3726 -5.3125 0.2276
```

***

The following is a DFT calculation (GGA-PBE) of a relaxed BaHoInBr6 crystal.

Its crystal system is trigonal. The formation energy from raw total energies is -1.7029 eV/atom. The value obtained for the calculated volume is 41.459 Å³/atom. The raw total energy comes out at -69.20 eV/cell.

extended XYZ file:
```
18
Lattice="7.9456 0.0000 0.0000 -3.9728 6.8811 0.0000 0.0000 0.0000 13.6494" Properties=species:S:1:pos:R:3 pbc="T T T"
Ba 0.0000 4.5874 3.4123
Ba 3.9728 2.2937 10.2370
Ho 3.9728 2.2937 3.4123
Ho 0.0000 4.5874 10.2370
In 0.0000 0.0000 0.0000
In 0.0000 0.0000 6.8247
Br 2.7961 4.2613 1.7920
Br 6.2651 2.3290 1.7920
Br -1.1156 6.5903 8.6167
Br -2.2923 4.5521 11.8574
Br 1.6805 2.3290 5.0327
Br 5.1495 4.2613 5.0327
Br 1.1156 6.5903 11.8574
Br 5.0884 0.2908 5.0327
Br -1.1767 2.6198 8.6167
Br 2.8572 0.2908 1.7920
Br 2.2923 4.5521 8.6167
Br 1.1767 2.6198 11.8574
```

***

The following is a DFT calculation (GGA-PBE) of a relaxed La2ZnB crystal.

Its formation energy is 5.242 kcal/mol of atoms. Its crystal system is tetragonal. The value obtained for the offset from the most stable computed form is 106 meV per atom. The value obtained for the calculated volume is 26.895 Å³/atom. The raw total energy comes out at -33.79 eV/cell.

extended XYZ file:
```
8
Lattice="-4.7603 5.2234 3.0371 -5.9832 -4.6142 -1.4421 -4.9734 -1.2340 4.0682" Properties=species:S:1:pos:R:3 pbc="T T T"
Zn 0.0000 0.0000 0.0000
Zn -7.5527 2.1470 3.9514
B -5.3717 0.3046 0.7975
B -8.1642 -2.7718 1.7118
La -4.6737 2.0581 2.5482
La -5.8707 -2.2182 0.6822
La -8.1269 -0.9809 3.5606
La -12.7626 -0.1087 4.5355
```

***

The following is a DFT calculation (GGA-PBE) of a relaxed RbBPb crystal.

Its formation energy is 20.515 kcal/mol of atoms. Its crystal system is orthorhombic. The value obtained for the calculated volume is 36.269 Å³/atom. The raw total energy comes out at -17.37 eV/cell.

extended XYZ file:
```
6
Lattice="4.2471 -5.0565 0.0000 4.2471 5.0565 0.0000 0.0000 0.0000 5.0666" Properties=species:S:1:pos:R:3 pbc="T T T"
Pb 4.2471 -2.5282 0.4633
Pb 4.2471 2.5282 4.6034
B 2.1236 2.5282 0.0000
B 2.1236 -2.5282 0.0000
Rb 2.1236 0.0000 2.5333
Rb 6.3707 0.0000 2.5333
```